A relaxed ScCdIr2 crystal, computed with PBE.

Computed properties:
- ΔH_f (0 K) (eV per atom) = -0.19
- SG = Cmmm, No. 65

The structure in POSCAR format:
```
ScCdIr2
1.0
1.599 -2.397 0.000
1.599 2.397 0.000
0.000 0.000 8.923
Sc Cd Ir
1 1 2
Direct
0.000 0.000 0.000 Sc
0.000 0.000 0.500 Cd
0.500 0.500 0.234 Ir
0.500 0.500 0.766 Ir
```